SrTi3In | PBE-GGA | relaxed

a b c (Å): 5.2801 5.2801 5.2801
angles (deg): 90.00 90.00 90.00
Space group Pm-3m (No. 221)
Symmetry-distinct sites (fractional):
Sr: 0.0000 0.0000 0.0000 (multiplicity 1)
Ti: 0.0000 0.5000 0.5000 (multiplicity 3)
In: 0.5000 0.5000 0.5000 (multiplicity 1)

---

Sr2Ti2In | PBE-GGA | relaxed

a b c (Å): 7.4572 7.4572 5.4448
angles (deg): 90.00 90.00 90.00
Space group P4/mbm (No. 127)
Symmetry-distinct sites (fractional):
Sr: 0.1814 0.3186 0.0000 (multiplicity 4)
Ti: 0.1257 0.6256 0.5000 (multiplicity 4)
In: 0.0000 0.0000 0.5000 (multiplicity 2)

---

Looking at energy above the lowest structure with this stoichiometry for the records above, in order, we have 0.000; 0.000 eV per atom.
Looking at calculated total energy for the records above, in order, we have -4.674; -4.026 eV per atom.
Looking at ΔE_f for the records above, in order, we have 0.947; 0.352 eV/atom.